Record 1
# Cs2CaCoBr6 | Alexandria via LeMat-Bulk | GGA-PBE | optimized geometry
data_Cs2CaCoBr6
_cell_length_a 7.8631
_cell_length_b 7.8631
_cell_length_c 6.7895
_cell_angle_alpha 90.00
_cell_angle_beta 90.00
_cell_angle_gamma 120.00
_symmetry_space_group_name_H-M 'P -3 m 1'
_symmetry_Int_Tables_number 164
_symmetry_space_group_name_Hall '-P 3 2"'
loop_
_atom_site_label
_atom_site_type_symbol
_atom_site_fract_x
_atom_site_fract_y
_atom_site_fract_z
Cs1 Cs 0.3333 0.6667 0.2785
Ca1 Ca 0.0000 0.0000 0.0000
Co1 Co 0.0000 0.0000 0.5000
Br1 Br 0.1587 0.3173 0.7229
# Density   3856 kg/m³
# Uncorrected formation energy   -1.42 eV/atom
# Energy relative to the lowest polymorph listed for this composition   0.0 kJ/mol of formula units


Record 2
# Ce3Al4Ag2 | Alexandria via LeMat-Bulk | GGA-PBE | optimized geometry
data_Ce3Al4Ag2
_cell_length_a 10.721
_cell_length_b 4.772
_cell_length_c 8.905
_cell_angle_alpha 90.00
_cell_angle_beta 120.22
_cell_angle_gamma 90.00
_symmetry_space_group_name_H-M 'C 1 2/m 1'
_symmetry_Int_Tables_number 12
loop_
_symmetry_equiv_pos_as_xyz
'x,y,z'
'-x,-y,-z'
'-x,y,-z'
'x,-y,z'
'x+1/2,y+1/2,z'
'-x+1/2,-y+1/2,-z'
'-x+1/2,y+1/2,-z'
'x+1/2,-y+1/2,z'
loop_
_atom_site_label
_atom_site_type_symbol
_atom_site_fract_x
_atom_site_fract_y
_atom_site_fract_z
Ce1 Ce 0.000 0.000 0.000
Ce2 Ce 0.146 0.500 0.657
Al1 Al 0.056 0.000 0.381
Al2 Al 0.240 0.500 0.070
Ag1 Ag 0.131 0.500 0.287
# ΔH_f (0 K)   -315.6 meV per atom
# Density   6277 kg/m³